[1]
Here is a PBEsol-optimized structure of SbPdWI2 from Alexandria. Energies are from meta-GGA SCAN.

## Properties
ΔE_f (raw): 1.44 eV/atom
uncorrected energy: -1.51408 Ha/atom
mass density: 7757 kg/m³

```
data_SbPdWI2
_symmetry_space_group_name_H-M 'P 1'
_symmetry_Int_Tables_number 1
_symmetry_space_group_name_Hall 'P 1'
_cell_length_a 5.213
_cell_length_b 5.213
_cell_length_c 5.246
_cell_angle_alpha 90.00
_cell_angle_beta 90.00
_cell_angle_gamma 90.00
loop_
_atom_site_label
_atom_site_type_symbol
_atom_site_fract_x
_atom_site_fract_y
_atom_site_fract_z
I1 I 0.000 0.500 0.000
I2 I 0.500 0.000 0.000
Sb1 Sb 0.000 0.000 0.500
Pd1 Pd 0.000 0.000 0.000
W1 W 0.500 0.500 0.500
```

[2]
Here is a PBEsol-optimized structure of Sb2PdWI from Alexandria. Energies are from meta-GGA SCAN.

## Properties
ΔE_f (raw): 0.85 eV/atom
uncorrected energy: -1.53947 Ha/atom
mass density: 8168 kg/m³

```
data_Sb2PdWI
_symmetry_space_group_name_H-M 'P 1'
_symmetry_Int_Tables_number 1
_symmetry_space_group_name_Hall 'P 1'
_cell_length_a 5.000
_cell_length_b 5.183
_cell_length_c 5.183
_cell_angle_alpha 90.00
_cell_angle_beta 90.00
_cell_angle_gamma 90.00
loop_
_atom_site_label
_atom_site_type_symbol
_atom_site_fract_x
_atom_site_fract_y
_atom_site_fract_z
I1 I 0.500 0.500 0.500
Sb1 Sb 0.000 0.000 0.500
Sb2 Sb 0.000 0.500 0.000
Pd1 Pd 0.500 0.000 0.000
W1 W 0.000 0.000 0.000
```

[3]
Here is a PBEsol-optimized structure of ZnSbPdI2 from Alexandria. Energies are from meta-GGA SCAN.

## Properties
ΔE_f (raw): 0.69 eV/atom
uncorrected energy: -1.12867 Ha/atom
mass density: 6181 kg/m³

```
data_ZnSbPdI2
_symmetry_space_group_name_H-M 'P 1'
_symmetry_Int_Tables_number 1
_symmetry_space_group_name_Hall 'P 1'
_cell_length_a 5.098
_cell_length_b 5.371
_cell_length_c 5.371
_cell_angle_alpha 90.00
_cell_angle_beta 90.00
_cell_angle_gamma 90.00
loop_
_atom_site_label
_atom_site_type_symbol
_atom_site_fract_x
_atom_site_fract_y
_atom_site_fract_z
I1 I 0.000 0.000 0.500
I2 I 0.000 0.500 0.000
Sb1 Sb 0.500 0.000 0.000
Zn1 Zn 0.000 0.000 0.000
Pd1 Pd 0.500 0.500 0.500
```

[4]
Here is a PBEsol-optimized structure of ZrSbPdI2 from Alexandria. Energies are from meta-GGA SCAN.

## Properties
ΔE_f (raw): 0.37 eV/atom
uncorrected energy: -1.26693 Ha/atom
mass density: 5619 kg/m³

```
data_ZrSbPdI2
_symmetry_space_group_name_H-M 'P 1'
_symmetry_Int_Tables_number 1
_symmetry_space_group_name_Hall 'P 1'
_cell_length_a 5.507
_cell_length_b 5.507
_cell_length_c 5.586
_cell_angle_alpha 90.00
_cell_angle_beta 90.00
_cell_angle_gamma 90.00
loop_
_atom_site_label
_atom_site_type_symbol
_atom_site_fract_x
_atom_site_fract_y
_atom_site_fract_z
I1 I 0.000 0.500 0.000
I2 I 0.500 0.000 0.000
Sb1 Sb 0.000 0.000 0.500
Zr1 Zr 0.000 0.000 0.000
Pd1 Pd 0.500 0.500 0.500
```

[5]
Here is a PBEsol-optimized structure of ScSi2PdI from Alexandria. Energies are from meta-GGA SCAN.

## Properties
ΔE_f (raw): 0.90 eV/atom
uncorrected energy: -0.72973 Ha/atom
mass density: 4363 kg/m³

```
data_ScSi2PdI
_symmetry_space_group_name_H-M 'P 1'
_symmetry_Int_Tables_number 1
_symmetry_space_group_name_Hall 'P 1'
_cell_length_a 4.799
_cell_length_b 5.150
_cell_length_c 5.150
_cell_angle_alpha 90.00
_cell_angle_beta 90.00
_cell_angle_gamma 90.00
loop_
_atom_site_label
_atom_site_type_symbol
_atom_site_fract_x
_atom_site_fract_y
_atom_site_fract_z
I1 I 0.500 0.500 0.500
Sc1 Sc 0.000 0.000 0.000
Si1 Si 0.000 0.000 0.500
Si2 Si 0.000 0.500 0.000
Pd1 Pd 0.500 0.000 0.000
```

[6]
Here is a PBEsol-optimized structure of Pd3SeI from Alexandria. Energies are from meta-GGA SCAN.

## Properties
ΔE_f (raw): 0.19 eV/atom
uncorrected energy: -1.13333 Ha/atom
mass density: 8263 kg/m³

```
data_Pd3SeI
_symmetry_space_group_name_H-M 'P 1'
_symmetry_Int_Tables_number 1
_symmetry_space_group_name_Hall 'P 1'
_cell_length_a 4.726
_cell_length_b 4.726
_cell_length_c 4.726
_cell_angle_alpha 90.00
_cell_angle_beta 90.00
_cell_angle_gamma 90.00
loop_
_atom_site_label
_atom_site_type_symbol
_atom_site_fract_x
_atom_site_fract_y
_atom_site_fract_z
I1 I 0.500 0.500 0.500
Se1 Se 0.000 0.000 0.000
Pd1 Pd 0.000 0.500 0.000
Pd2 Pd 0.000 0.000 0.500
Pd3 Pd 0.500 0.000 0.000
```

[7]
Here is a PBEsol-optimized structure of SnTe2PdI from Alexandria. Energies are from meta-GGA SCAN.

## Properties
ΔE_f (raw): 0.14 eV/atom
uncorrected energy: -1.31727 Ha/atom
mass density: 6877 kg/m³

```
data_SnTe2PdI
_symmetry_space_group_name_H-M 'P 1'
_symmetry_Int_Tables_number 1
_symmetry_space_group_name_Hall 'P 1'
_cell_length_a 5.237
_cell_length_b 5.237
_cell_length_c 5.346
_cell_angle_alpha 90.00
_cell_angle_beta 90.00
_cell_angle_gamma 90.00
loop_
_atom_site_label
_atom_site_type_symbol
_atom_site_fract_x
_atom_site_fract_y
_atom_site_fract_z
I1 I 0.000 0.000 0.500
Te1 Te 0.000 0.500 0.000
Te2 Te 0.500 0.000 0.000
Sn1 Sn 0.500 0.500 0.500
Pd1 Pd 0.000 0.000 0.000
```

[8]
Here is a PBEsol-optimized structure of SrTe2PdI from Alexandria. Energies are from meta-GGA SCAN.

## Properties
ΔE_f (raw): -0.72 eV/atom
uncorrected energy: -1.24867 Ha/atom
mass density: 6220 kg/m³

```
data_SrTe2PdI
_symmetry_space_group_name_H-M 'P 1'
_symmetry_Int_Tables_number 1
_symmetry_space_group_name_Hall 'P 1'
_cell_length_a 5.312
_cell_length_b 5.312
_cell_length_c 5.450
_cell_angle_alpha 90.00
_cell_angle_beta 90.00
_cell_angle_gamma 90.00
loop_
_atom_site_label
_atom_site_type_symbol
_atom_site_fract_x
_atom_site_fract_y
_atom_site_fract_z
I1 I 0.000 0.000 0.500
Sr1 Sr 0.500 0.500 0.500
Te1 Te 0.000 0.500 0.000
Te2 Te 0.500 0.000 0.000
Pd1 Pd 0.000 0.000 0.000
```

[9]
Here is a PBEsol-optimized structure of TcPdI3 from Alexandria. Energies are from meta-GGA SCAN.

## Properties
ΔE_f (raw): 0.74 eV/atom
uncorrected energy: -1.28135 Ha/atom
mass density: 6447 kg/m³

```
data_TcPdI3
_symmetry_space_group_name_H-M 'P 1'
_symmetry_Int_Tables_number 1
_symmetry_space_group_name_Hall 'P 1'
_cell_length_a 5.322
_cell_length_b 5.322
_cell_length_c 5.322
_cell_angle_alpha 90.00
_cell_angle_beta 90.00
_cell_angle_gamma 90.00
loop_
_atom_site_label
_atom_site_type_symbol
_atom_site_fract_x
_atom_site_fract_y
_atom_site_fract_z
I1 I 0.000 0.500 0.000
I2 I 0.000 0.000 0.500
I3 I 0.500 0.000 0.000
Tc1 Tc 0.000 0.000 0.000
Pd1 Pd 0.500 0.500 0.500
```

[10]
Here is a PBEsol-optimized structure of Te2Pd2I from Alexandria. Energies are from meta-GGA SCAN.

## Properties
ΔE_f (raw): -0.22 eV/atom
uncorrected energy: -1.30761 Ha/atom
mass density: 8012 kg/m³

```
data_Te2Pd2I
_symmetry_space_group_name_H-M 'P 1'
_symmetry_Int_Tables_number 1
_symmetry_space_group_name_Hall 'P 1'
_cell_length_a 3.970
_cell_length_b 3.970
_cell_length_c 8.311
_cell_angle_alpha 103.82
_cell_angle_beta 103.82
_cell_angle_gamma 90.00
loop_
_atom_site_label
_atom_site_type_symbol
_atom_site_fract_x
_atom_site_fract_y
_atom_site_fract_z
I1 I 0.000 0.000 0.000
Te1 Te 0.363 0.363 0.726
Te2 Te 0.637 0.637 0.274
Pd1 Pd 0.250 0.750 0.500
Pd2 Pd 0.750 0.250 0.500
```

[11]
Here is a PBEsol-optimized structure of Te2PdWI from Alexandria. Energies are from meta-GGA SCAN.

## Properties
ΔE_f (raw): 0.99 eV/atom
uncorrected energy: -1.53433 Ha/atom
mass density: 7581 kg/m³

```
data_Te2PdWI
_symmetry_space_group_name_H-M 'P 1'
_symmetry_Int_Tables_number 1
_symmetry_space_group_name_Hall 'P 1'
_cell_length_a 5.134
_cell_length_b 5.134
_cell_length_c 5.587
_cell_angle_alpha 90.00
_cell_angle_beta 90.00
_cell_angle_gamma 90.00
loop_
_atom_site_label
_atom_site_type_symbol
_atom_site_fract_x
_atom_site_fract_y
_atom_site_fract_z
I1 I 0.000 0.000 0.500
Te1 Te 0.000 0.500 0.000
Te2 Te 0.500 0.000 0.000
Pd1 Pd 0.500 0.500 0.500
W1 W 0.000 0.000 0.000
```

[12]
Here is a PBEsol-optimized structure of YTe2PdI from Alexandria. Energies are from meta-GGA SCAN.

## Properties
ΔE_f (raw): -0.38 eV/atom
uncorrected energy: -1.27710 Ha/atom
mass density: 6610 kg/m³

```
data_YTe2PdI
_symmetry_space_group_name_H-M 'P 1'
_symmetry_Int_Tables_number 1
_symmetry_space_group_name_Hall 'P 1'
_cell_length_a 5.191
_cell_length_b 5.286
_cell_length_c 5.286
_cell_angle_alpha 90.00
_cell_angle_beta 90.00
_cell_angle_gamma 90.00
loop_
_atom_site_label
_atom_site_type_symbol
_atom_site_fract_x
_atom_site_fract_y
_atom_site_fract_z
I1 I 0.500 0.000 0.000
Y1 Y 0.500 0.500 0.500
Te1 Te 0.000 0.000 0.500
Te2 Te 0.000 0.500 0.000
Pd1 Pd 0.000 0.000 0.000
```

[13]
Here is a PBEsol-optimized structure of TiPd3I from Alexandria. Energies are from meta-GGA SCAN.

## Properties
ΔE_f (raw): 0.67 eV/atom
uncorrected energy: -1.08575 Ha/atom
mass density: 7226 kg/m³

```
data_TiPd3I
_symmetry_space_group_name_H-M 'P 1'
_symmetry_Int_Tables_number 1
_symmetry_space_group_name_Hall 'P 1'
_cell_length_a 4.842
_cell_length_b 4.842
_cell_length_c 4.842
_cell_angle_alpha 90.00
_cell_angle_beta 90.00
_cell_angle_gamma 90.00
loop_
_atom_site_label
_atom_site_type_symbol
_atom_site_fract_x
_atom_site_fract_y
_atom_site_fract_z
I1 I 0.000 0.000 0.000
Pd1 Pd 0.000 0.500 0.000
Pd2 Pd 0.000 0.000 0.500
Pd3 Pd 0.500 0.000 0.000
Ti1 Ti 0.500 0.500 0.500
```